[1]
{
  "formula": "NaSnB",
  "functional": "PBE",
  "state": "optimized geometry",
  "cell": [[1.9594, 1.1313, 10.2352], [-1.9594, 1.1313, 10.2352], [0.0000, -2.2626, 10.2352]],
  "species": ["Na", "Na", "Sn", "Sn", "B", "B"],
  "fractional_positions": [[0.1149, 0.1149, 0.1149], [0.8851, 0.8851, 0.8851], [0.2935, 0.2935, 0.2935], [0.7065, 0.7065, 0.7065], [0.3835, 0.3835, 0.3835], [0.6165, 0.6165, 0.6165]],
  "density_g_cm3": 3.721,
  "formation_energy_ev_per_atom": 0.44,
  "spacegroup": "R-3m (166)",
  "dft_energy_ev_per_fu": -10.678
}


[2]
{
  "formula": "CsHg2PdCl8",
  "functional": "PBE",
  "state": "optimized geometry",
  "cell": [[3.7761, 2.1801, 9.7135], [-3.7761, 2.1801, 9.7135], [0.0000, -4.3602, 9.7135]],
  "species": ["Cs", "Hg", "Hg", "Pd", "Cl", "Cl", "Cl", "Cl", "Cl", "Cl", "Cl", "Cl"],
  "fractional_positions": [[0.0000, 0.0000, 0.0000], [0.2400, 0.2400, 0.2400], [0.7600, 0.7600, 0.7600], [0.5000, 0.5000, 0.5000], [0.1598, 0.5926, 0.5926], [0.3243, 0.3243, 0.3243], [0.4074, 0.4074, 0.8402], [0.4074, 0.8402, 0.4074], [0.5926, 0.1598, 0.5926], [0.5926, 0.5926, 0.1598], [0.6757, 0.6757, 0.6757], [0.8402, 0.4074, 0.4074]],
  "density_g_cm3": 3.198,
  "raw_formation_energy_ev_per_atom": -0.622,
  "spacegroup": "R-3m (166)",
  "dft_energy_ev_per_fu": -28.889
}


[3]
{
  "formula": "DyMgRu",
  "functional": "PBE",
  "state": "optimized geometry",
  "cell": [[3.4253, 0.0000, 0.0000], [0.0000, 14.9090, 0.0000], [0.0000, 0.0000, 4.7810]],
  "species": ["Dy", "Dy", "Dy", "Dy", "Mg", "Mg", "Mg", "Mg", "Ru", "Ru", "Ru", "Ru"],
  "fractional_positions": [[0.0000, 0.0776, 0.2500], [0.0000, 0.9224, 0.7500], [0.5000, 0.4224, 0.7500], [0.5000, 0.5776, 0.2500], [0.0000, 0.2267, 0.7500], [0.0000, 0.7733, 0.2500], [0.5000, 0.2733, 0.2500], [0.5000, 0.7267, 0.7500], [0.0000, 0.4168, 0.2500], [0.0000, 0.5832, 0.7500], [0.5000, 0.0832, 0.7500], [0.5000, 0.9168, 0.2500]],
  "density_g_cm3": 7.832,
  "formation_energy_ev_per_atom": -0.24,
  "spacegroup": "Cmcm (63)",
  "dft_energy_ev_per_fu": -16.182
}


[4]
{
  "formula": "Ba2HF",
  "functional": "PBE",
  "state": "optimized geometry",
  "cell": [[6.3258, 0.0000, 0.0000], [0.0000, 6.3258, 0.0000], [0.0000, 0.0000, 12.6212]],
  "species": ["Ba", "Ba", "Ba", "Ba", "Ba", "Ba", "Ba", "Ba", "H", "H", "H", "H", "F", "F", "F", "F"],
  "fractional_positions": [[0.2482, 0.2500, 0.1250], [0.2500, 0.7482, 0.3750], [0.2500, 0.7518, 0.8750], [0.2518, 0.2500, 0.6250], [0.7482, 0.7500, 0.6250], [0.7500, 0.2482, 0.8750], [0.7500, 0.2518, 0.3750], [0.7518, 0.7500, 0.1250], [0.0000, 0.0000, 0.5000], [0.0000, 0.5000, 0.7500], [0.5000, 0.0000, 0.2500], [0.5000, 0.5000, 0.0000], [0.0000, 0.0000, 0.0000], [0.0000, 0.5000, 0.2500], [0.5000, 0.0000, 0.7500], [0.5000, 0.5000, 0.5000]],
  "density_g_cm3": 3.875,
  "spacegroup": "I-42d (122)",
  "dft_energy_ev_per_fu": -14.833
}


- Number 1 is which compound?
  NaSnB